Entry 1:
Compound: KGa2PtAu
Source: OQMD via LeMat-Bulk
Functional: PBE
Structure: optimized geometry

Properties
**Density**: 8580 kg/m³
**Final energy**: -3.652 eV/atom

```
data_KGa2PtAu
_cell_length_a 4.6378
_cell_length_b 4.6378
_cell_length_c 10.2684
_cell_angle_alpha 90.00
_cell_angle_beta 90.00
_cell_angle_gamma 90.00
_symmetry_space_group_name_H-M 'I -4 m 2'
_symmetry_Int_Tables_number 119
_symmetry_space_group_name_Hall 'I -4 -2'
loop_
_atom_site_label
_atom_site_fract_x
_atom_site_fract_y
_atom_site_fract_z
_atom_site_occupancy
K1 0.0000 0.0000 0.0000 1
Ga1 0.0000 0.0000 0.3629 1
Pt1 0.0000 0.5000 0.7500 1
Au1 0.0000 0.5000 0.2500 1
```

---

Entry 2:
Compound: LuCoReB
Source: OQMD via LeMat-Bulk
Functional: PBE
Structure: optimized geometry

Properties
**Density**: 13326 kg/m³
**E above lowest polymorph**: 0 meV/atom

```
data_LuCoReB
_cell_length_a 5.9887
_cell_length_b 5.9887
_cell_length_c 5.9887
_cell_angle_alpha 90.00
_cell_angle_beta 90.00
_cell_angle_gamma 90.00
_symmetry_space_group_name_H-M 'F -4 3 m'
_symmetry_Int_Tables_number 216
_symmetry_space_group_name_Hall 'F -4 2 3'
loop_
_atom_site_label
_atom_site_fract_x
_atom_site_fract_y
_atom_site_fract_z
_atom_site_occupancy
Lu1 0.0000 0.0000 0.0000 1
Co1 0.2500 0.2500 0.7500 1
Re1 0.2500 0.2500 0.2500 1
B1 0.0000 0.0000 0.5000 1
```

---

Entry 3:
Compound: Y2TmGe4Pd4
Source: OQMD via LeMat-Bulk
Functional: PBE
Structure: optimized geometry

Properties
**Density**: 8504 kg/m³
**Final energy**: -6.041 eV/atom

```
data_Y2TmGe4Pd4
_cell_length_a 4.1867
_cell_length_b 7.0950
_cell_length_c 13.9753
_cell_angle_alpha 90.00
_cell_angle_beta 90.00
_cell_angle_gamma 90.00
_symmetry_space_group_name_H-M 'I m m m'
_symmetry_Int_Tables_number 71
_symmetry_space_group_name_Hall '-I 2 2'
loop_
_atom_site_label
_atom_site_fract_x
_atom_site_fract_y
_atom_site_fract_z
_atom_site_occupancy
Y1 0.0000 0.0000 0.1259 1
Tm1 0.0000 0.5000 0.0000 1
Ge1 0.0000 0.3116 0.5000 1
Ge2 0.0000 0.5000 0.2180 1
Pd1 0.0000 0.2003 0.3251 1
```

---

Entry 4:
Compound: TlAu15
Source: OQMD via LeMat-Bulk
Functional: PBE
Structure: optimized geometry

Properties
**Density**: 12440 kg/m³
**E above lowest polymorph**: 15 meV/atom

```
data_TlAu15
_cell_length_a 5.0285
_cell_length_b 35.3073
_cell_length_c 5.0252
_cell_angle_alpha 90.00
_cell_angle_beta 109.05
_cell_angle_gamma 90.00
_symmetry_space_group_name_H-M 'P 1 2/c 1'
_symmetry_Int_Tables_number 13
_symmetry_space_group_name_Hall '-P 2yc'
loop_
_atom_site_label
_atom_site_fract_x
_atom_site_fract_y
_atom_site_fract_z
_atom_site_occupancy
Tl1 0.0000 0.1638 0.2500 1
Au1 0.0000 0.2225 0.7500 1
Au2 0.0000 0.2664 0.2500 1
Au3 0.0000 0.3091 0.7500 1
Au4 0.0000 0.3520 0.2500 1
Au5 0.0000 0.3939 0.7500 1
Au6 0.0000 0.4367 0.2500 1
Au7 0.0000 0.4787 0.7500 1
Au8 0.5000 0.1852 0.7500 1
Au9 0.5000 0.2225 0.2500 1
Au10 0.5000 0.2671 0.7500 1
Au11 0.5000 0.3090 0.2500 1
Au12 0.5000 0.3513 0.7500 1
Au13 0.5000 0.3939 0.2500 1
Au14 0.5000 0.4361 0.7500 1
Au15 0.5000 0.4790 0.2500 1
```